# PBE+U CrPb3F7, optimized geometry
data_CrPb3F7
_chemical_formula_sum 'Cr2 Pb6 F14'
_symmetry_space_group_name_H-M 'P 1'
_symmetry_Int_Tables_number 1
_symmetry_space_group_name_Hall 'P 1'
_cell_length_a 7.363
_cell_length_b 7.363
_cell_length_c 8.235
_cell_angle_alpha 90.00
_cell_angle_beta 90.00
_cell_angle_gamma 119.85
loop_
_atom_site_label
_atom_site_type_symbol
_atom_site_fract_x
_atom_site_fract_y
_atom_site_fract_z
_atom_site_occupancy
Pb1 Pb 0.000 0.500 0.750 1
Pb2 Pb 0.000 0.500 0.250 1
Pb3 Pb 0.500 0.500 0.500 1
Pb4 Pb 0.500 0.500 0.000 1
Pb5 Pb 0.500 0.000 0.750 1
Pb6 Pb 0.500 0.000 0.250 1
F1 F 0.000 0.000 0.750 1
F2 F 0.000 0.000 0.250 1
F3 F 0.661 0.909 0.000 1
F4 F 0.389 0.611 0.750 1
F5 F 0.661 0.909 0.500 1
F6 F 0.339 0.091 0.500 1
F7 F 0.091 0.339 0.500 1
F8 F 0.909 0.661 0.500 1
F9 F 0.389 0.611 0.250 1
F10 F 0.339 0.091 0.000 1
F11 F 0.909 0.661 0.000 1
F12 F 0.611 0.389 0.250 1
F13 F 0.611 0.389 0.750 1
F14 F 0.091 0.339 0.000 1
Cr1 Cr 0.000 0.000 0.000 1
Cr2 Cr 0.000 0.000 0.500 1
# Calculated volume: 17.60 Å³ per atom
# SG: No. 65
# DOS at the Fermi energy: 4.07 states/eV per cell
# Total DFT energy (no corrections): -5.10 eV/atom
# Magnetic moment: 0.36 μB per atom